! Na6Ag2Ge GGA-PBE optimized geometry; values from VASP
! Symmetry: No. 166
! Formation enthalpy at 0 K: -0.2 eV/f.u.
! E_tot: -2.05 eV/atom
&SYSTEM
  ibrav = 0, nat = 9, ntyp = 3
/
ATOMIC_SPECIES
Na 22.99 Na.upf
Ag 107.87 Ag.upf
Ge 72.64 Ge.upf
ATOMIC_POSITIONS crystal
Na 0.0814 0.0814 0.0814
Na 0.1944 0.1944 0.1944
Na 0.3086 0.3086 0.3086
Na 0.6914 0.6914 0.6914
Na 0.8056 0.8056 0.8056
Na 0.9186 0.9186 0.9186
Ag 0.4132 0.4132 0.4132
Ag 0.5868 0.5868 0.5868
Ge 0.5000 0.5000 0.5000
CELL_PARAMETERS angstrom
2.6494 1.5296 9.8384
-2.6494 1.5296 9.8384
0.0000 -3.0593 9.8384

=====

! CsRb2SeBr6 GGA-PBE optimized geometry; values from VASP
! Symmetry: No. 139
! E_tot: -2.61 eV/atom
&SYSTEM
  ibrav = 0, nat = 10, ntyp = 4
/
ATOMIC_SPECIES
Cs 132.91 Cs.upf
Rb 85.47 Rb.upf
Se 78.96 Se.upf
Br 79.90 Br.upf
ATOMIC_POSITIONS crystal
Cs 0.0000 0.0000 0.0000
Rb 0.2500 0.7500 0.5000
Rb 0.7500 0.2500 0.5000
Se 0.5000 0.5000 0.0000
Br 0.2594 0.2594 0.0000
Br 0.2828 0.2828 0.5655
Br 0.2828 0.7172 0.0000
Br 0.7172 0.2828 0.0000
Br 0.7172 0.7172 0.4345
Br 0.7406 0.7406 0.0000
CELL_PARAMETERS angstrom
-4.1773 4.1773 6.5559
4.1773 -4.1773 6.5559
4.1773 4.1773 -6.5559

=====

Question: Among the records above, which one has the lowest E_tot?
Answer: CsRb2SeBr6

=====

Copy entry 2 word for word.
! CsRb2SeBr6 GGA-PBE optimized geometry; values from VASP
! Symmetry: No. 139
! E_tot: -2.61 eV/atom
&SYSTEM
  ibrav = 0, nat = 10, ntyp = 4
/
ATOMIC_SPECIES
Cs 132.91 Cs.upf
Rb 85.47 Rb.upf
Se 78.96 Se.upf
Br 79.90 Br.upf
ATOMIC_POSITIONS crystal
Cs 0.0000 0.0000 0.0000
Rb 0.2500 0.7500 0.5000
Rb 0.7500 0.2500 0.5000
Se 0.5000 0.5000 0.0000
Br 0.2594 0.2594 0.0000
Br 0.2828 0.2828 0.5655
Br 0.2828 0.7172 0.0000
Br 0.7172 0.2828 0.0000
Br 0.7172 0.7172 0.4345
Br 0.7406 0.7406 0.0000
CELL_PARAMETERS angstrom
-4.1773 4.1773 6.5559
4.1773 -4.1773 6.5559
4.1773 4.1773 -6.5559